This record from Alexandria via LeMat-Bulk describes an optimized crystal structure of MnIOF2. The functional is PBE with a Hubbard U.

Cell: 4.9755 4.9755 4.0559 Å, 90.00 90.00 90.00°
With the nearest neighbours (Å) after each atom.
Fractional positions:
I 0.0000 0.0000 0.0000  2 O 2.03
F 0.5000 0.0000 0.0000  2 I 2.49
F 0.0000 0.5000 0.0000  2 I 2.49
O 0.0000 0.0000 0.5000  2 I 2.03
Mn 0.5000 0.5000 0.5000  8 F 3.21, 4 O 3.52

Computed properties:
Polymorph energy (0 for the lowest one)   793 meV/atom
DOS(E_F)   2.46 states/eV/f.u.